[1]
{
  "formula": "Sr2AlRh",
  "functional": "GGA-PBE",
  "state": "optimized geometry",
  "lattice_angstrom": [[11.178, 0.000, 0.000], [0.000, 11.178, 0.000], [0.000, 0.000, 4.762]],
  "species": ["Sr", "Sr", "Sr", "Sr", "Sr", "Sr", "Sr", "Sr", "Al", "Al", "Al", "Al", "Rh", "Rh", "Rh", "Rh"],
  "fractional_positions": [[0.075, 0.250, 0.125], [0.250, 0.575, 0.375], [0.250, 0.925, 0.875], [0.425, 0.250, 0.625], [0.575, 0.750, 0.625], [0.750, 0.075, 0.875], [0.750, 0.425, 0.375], [0.925, 0.750, 0.125], [0.000, 0.000, 0.500], [0.000, 0.500, 0.750], [0.500, 0.000, 0.250], [0.500, 0.500, 0.000], [0.000, 0.000, 0.000], [0.000, 0.500, 0.250], [0.500, 0.000, 0.750], [0.500, 0.500, 0.500]],
  "rho_g_cm3": 3.4,
  "e_tot_ev_per_atom": -3.85,
  "ef_ev_per_fu": -0.95,
  "n_ef_per_ev_fu": 2.85,
  "m_tot_mub_per_fu": 0.000
}

***

[2]
{
  "formula": "Sr2AlRh",
  "functional": "GGA-PBE",
  "state": "optimized geometry",
  "lattice_angstrom": [[3.654, 0.000, 0.000], [0.000, 3.941, 0.000], [-0.014, 0.000, 7.450]],
  "species": ["Sr", "Sr", "Al", "Rh"],
  "fractional_positions": [[0.001, 0.000, 0.273], [0.999, 0.000, 0.727], [0.500, 0.500, 0.000], [0.500, 0.500, 0.500]],
  "rho_g_cm3": 4.7,
  "e_tot_ev_per_atom": -3.68,
  "ef_ev_per_fu": -0.25,
  "n_ef_per_ev_fu": 2.63,
  "m_tot_mub_per_fu": 0.000
}

***

[3]
{
  "formula": "SrAlRh2",
  "functional": "GGA-PBE",
  "state": "optimized geometry",
  "lattice_angstrom": [[4.865, 0.000, 0.000], [0.000, 4.865, 0.000], [0.000, 0.000, 16.486]],
  "species": ["Sr", "Sr", "Sr", "Sr", "Al", "Al", "Al", "Al", "Rh", "Rh", "Rh", "Rh", "Rh", "Rh", "Rh", "Rh"],
  "fractional_positions": [[0.000, 0.000, 0.000], [0.000, 0.500, 0.250], [0.500, 0.000, 0.750], [0.500, 0.500, 0.500], [0.000, 0.000, 0.500], [0.000, 0.500, 0.750], [0.500, 0.000, 0.250], [0.500, 0.500, 0.000], [0.081, 0.250, 0.625], [0.250, 0.581, 0.875], [0.250, 0.919, 0.375], [0.419, 0.250, 0.125], [0.581, 0.750, 0.125], [0.750, 0.081, 0.375], [0.750, 0.419, 0.875], [0.919, 0.750, 0.625]],
  "rho_g_cm3": 5.5,
  "e_tot_ev_per_atom": -5.19,
  "ef_ev_per_fu": -0.62,
  "n_ef_per_ev_fu": 3.87,
  "m_tot_mub_per_fu": 0.000
}

***

[4]
{
  "formula": "SrAl6Rh",
  "functional": "GGA-PBE",
  "state": "optimized geometry",
  "lattice_angstrom": [[4.311, 0.000, 0.000], [0.000, 4.311, 0.000], [0.000, 0.000, 8.577]],
  "species": ["Sr", "Al", "Al", "Al", "Al", "Al", "Al", "Rh"],
  "fractional_positions": [[0.000, 0.000, 0.000], [0.000, 0.500, 0.339], [0.000, 0.500, 0.661], [0.500, 0.000, 0.339], [0.500, 0.000, 0.661], [0.500, 0.500, 0.150], [0.500, 0.500, 0.850], [0.000, 0.000, 0.500]],
  "rho_g_cm3": 3.7,
  "e_tot_ev_per_atom": -4.36,
  "ef_ev_per_fu": -3.38,
  "n_ef_per_ev_fu": 3.07,
  "m_tot_mub_per_fu": 0.000
}

***

[5]
{
  "formula": "SrAl2Rh",
  "functional": "GGA-PBE",
  "state": "optimized geometry",
  "lattice_angstrom": [[4.310, 0.000, 0.000], [-2.155, 3.733, 0.000], [0.000, 0.000, 17.092]],
  "species": ["Sr", "Sr", "Sr", "Al", "Al", "Al", "Al", "Al", "Al", "Rh", "Rh", "Rh"],
  "fractional_positions": [[0.000, 0.000, 0.000], [0.333, 0.667, 0.667], [0.667, 0.333, 0.333], [0.000, 0.000, 0.196], [0.000, 0.000, 0.804], [0.333, 0.667, 0.470], [0.333, 0.667, 0.863], [0.667, 0.333, 0.137], [0.667, 0.333, 0.530], [0.000, 0.000, 0.500], [0.333, 0.667, 0.167], [0.667, 0.333, 0.833]],
  "rho_g_cm3": 4.4,
  "e_tot_ev_per_atom": -4.73,
  "ef_ev_per_fu": -2.41,
  "n_ef_per_ev_fu": 1.55,
  "m_tot_mub_per_fu": 0.000
}

***

[6]
{
  "formula": "SrAl2Rh",
  "functional": "GGA-PBE",
  "state": "optimized geometry",
  "lattice_angstrom": [[4.527, 0.000, 0.000], [0.000, 5.661, 0.000], [0.000, 0.000, 7.217]],
  "species": ["Sr", "Sr", "Al", "Al", "Al", "Al", "Rh", "Rh"],
  "fractional_positions": [[0.000, 0.000, 0.000], [0.500, 0.500, 0.500], [0.000, 0.000, 0.468], [0.000, 0.500, 0.185], [0.500, 0.000, 0.685], [0.500, 0.500, 0.968], [0.000, 0.500, 0.840], [0.500, 0.000, 0.340]],
  "rho_g_cm3": 4.4,
  "e_tot_ev_per_atom": -4.28,
  "ef_ev_per_fu": -0.61,
  "n_ef_per_ev_fu": 2.71,
  "m_tot_mub_per_fu": 0.000
}